(1)
TaZnSi PBE relaxed; SG = F-43m (216); electronic total energy = -5.858 eV per atom
1.0
0.000 2.959 2.959
2.959 0.000 2.959
2.959 2.959 0.000
Si Ta Zn
1 1 1
Direct
0.000 0.000 0.000
0.250 0.250 0.250
0.750 0.750 0.750

***

(2)
TaZnSi PBE relaxed; SG = F-43m (216); electronic total energy = -5.692 eV per atom
1.0
0.000 3.033 3.033
3.033 0.000 3.033
3.033 3.033 0.000
Si Ta Zn
1 1 1
Direct
0.250 0.250 0.250
0.000 0.000 0.000
0.750 0.750 0.750

***

(3)
ZrTa2Si2 PBE relaxed; SG = I4/mmm (139); excess energy over the best structure of this formula in the dataset = 0.1381 eV per atom
1.0
-1.966 1.966 5.727
1.966 -1.966 5.727
1.966 1.966 -5.727
Si Ta Zr
2 2 1
Direct
0.400 0.400 0.000
0.600 0.600 0.000
0.750 0.250 0.500
0.250 0.750 0.500
0.000 0.000 0.000

***

(4)
ZrTa2Si PBE relaxed; SG = F-43m (216); electronic total energy = -9.494 eV per atom
1.0
-1.374 1.152 4.297
-3.930 2.419 0.617
-3.729 -2.057 1.882
Si Ta Zr
1 2 1
Direct
0.500 0.500 0.500
0.000 0.000 0.000
0.750 0.750 0.750
0.250 0.250 0.250

***

(5)
ZrTa3Si2 PBE relaxed; SG = Fmm2 (42); electronic total energy = -9.750 eV per atom
1.0
-5.110 0.692 3.591
-0.853 3.611 3.507
-4.567 2.023 -1.307
Si Ta Zr
2 3 1
Direct
0.252 0.252 0.248
0.752 0.752 0.748
0.162 0.840 0.160
0.334 0.334 0.666
0.840 0.162 0.838
0.659 0.659 0.341

***

(6)
ZrTa2Si2 PBE relaxed; SG = P4/mbm (127); excess energy over the best structure of this formula in the dataset = 0.0000 eV per atom
1.0
6.909 0.000 0.000
0.000 6.909 0.000
0.000 0.000 3.498
Si Ta Zr
4 4 2
Direct
0.625 0.125 0.000
0.125 0.375 0.000
0.875 0.625 0.000
0.375 0.875 0.000
0.331 0.169 0.500
0.831 0.331 0.500
0.169 0.669 0.500
0.669 0.831 0.500
0.000 0.000 0.000
0.500 0.500 0.000

***

(7)
TbSi2 PBE relaxed; SG = Fd-3m (227); electronic total energy = -5.472 eV per atom
1.0
0.000 3.776 3.776
3.776 0.000 3.776
3.776 3.776 0.000
Si Tb
4 2
Direct
0.625 0.625 0.125
0.625 0.125 0.625
0.125 0.625 0.625
0.625 0.625 0.625
0.000 0.000 0.000
0.250 0.250 0.250

***

(8)
TbSi2 PBE relaxed; SG = Fd-3m (227); electronic total energy = -3.349 eV per atom
1.0
0.000 6.691 6.691
6.691 0.000 6.691
6.691 6.691 0.000
Si Tb
4 2
Direct
0.125 0.125 0.125
0.625 0.125 0.125
0.125 0.625 0.125
0.125 0.125 0.625
0.000 0.000 0.000
0.250 0.250 0.250

***

(9)
TbSi PBE relaxed; SG = Fm-3m (225); electronic total energy = -5.484 eV per atom
1.0
-2.844 -2.963 0.377
-3.400 0.678 2.233
-3.652 0.397 -1.873
Si Tb
1 1
Direct
0.000 0.000 0.000
0.500 0.500 0.500

***

(10)
Tb3Si5 PBE relaxed; SG = P-62m (189); electronic total energy = -5.808 eV per atom
1.0
-4.196 -0.253 0.260
0.402 0.087 6.577
-0.547 5.653 -3.342
Si Tb
5 3
Direct
0.500 0.670 0.003
0.500 0.336 0.067
0.500 0.067 0.336
0.500 0.606 0.606
0.500 0.003 0.670
0.000 0.690 0.336
0.000 0.336 0.690
0.000 0.984 0.984

***

(11)
TbSi PBE relaxed; SG = R-3m (166); electronic total energy = -5.483 eV per atom
1.0
-3.808 -1.335 1.165
-1.040 -0.583 4.027
-2.738 2.484 1.995
Si Tb
1 1
Direct
0.000 0.000 0.000
0.500 0.500 0.500

***

(12)
TbSi PBE relaxed; SG = F-43m (216); electronic total energy = -4.676 eV per atom
1.0
0.000 3.249 3.249
3.249 0.000 3.249
3.249 3.249 0.000
Si Tb
1 1
Direct
0.000 0.000 0.000
0.250 0.250 0.250

***

Number 1: M_tot 0.28 μB/atom. Number 2: M_tot 0.01 μB/atom. Number 3: M_tot 0.00 μB/atom. Number 4: M_tot 0.00 μB/atom. Number 5: M_tot 0.00 μB/atom. Number 6: M_tot 0.00 μB/atom. Number 7: M_tot 0.00 μB/atom. Number 8: M_tot 1.00 μB/atom. Number 9: M_tot 0.00 μB/atom. Number 10: M_tot 0.00 μB/atom. Number 11: M_tot 0.00 μB/atom. Number 12: M_tot 0.01 μB/atom.